# 1
# PBE-GGA Dy6InGe2Se3, optimized geometry
data_Dy6InGe2Se3
_cell_length_a 4.137
_cell_length_b 8.413
_cell_length_c 9.415
_cell_angle_alpha 106.35
_cell_angle_beta 102.69
_cell_angle_gamma 90.00
_symmetry_space_group_name_H-M 'P 1'
_symmetry_Int_Tables_number 1
_symmetry_space_group_name_Hall 'P 1'
loop_
_atom_site_label
_atom_site_type_symbol
_atom_site_fract_x
_atom_site_fract_y
_atom_site_fract_z
Dy1 Dy 0.328 0.911 0.657
Dy2 Dy 0.671 0.569 0.342
Dy3 Dy 0.672 0.089 0.343
Dy4 Dy 0.999 0.265 0.999
Dy5 Dy 0.001 0.735 0.001
Dy6 Dy 0.329 0.431 0.658
In1 In 0.500 0.000 0.000
Ge1 Ge 0.836 0.676 0.673
Ge2 Ge 0.164 0.324 0.327
Se1 Se 0.500 0.500 0.000
Se2 Se 0.833 0.173 0.666
Se3 Se 0.167 0.827 0.334
# DFT total energy = -65.01 eV/f.u.
# M_tot = 0.00 μB per cell
# Formation energy from raw total energies = -120.4 kJ per mole of atoms


# 2
# PBE-GGA Dy6InGe2Te3, optimized geometry
data_Dy6InGe2Te3
_cell_length_a 4.247
_cell_length_b 8.745
_cell_length_c 9.694
_cell_angle_alpha 104.67
_cell_angle_beta 102.66
_cell_angle_gamma 90.00
_symmetry_space_group_name_H-M 'P 1'
_symmetry_Int_Tables_number 1
_symmetry_space_group_name_Hall 'P 1'
loop_
_atom_site_label
_atom_site_type_symbol
_atom_site_fract_x
_atom_site_fract_y
_atom_site_fract_z
Dy1 Dy 0.332 0.896 0.664
Dy2 Dy 0.674 0.564 0.348
Dy3 Dy 0.668 0.104 0.336
Dy4 Dy 0.008 0.255 0.016
Dy5 Dy 0.992 0.745 0.984
Dy6 Dy 0.326 0.436 0.652
In1 In 0.500 0.000 0.000
Ge1 Ge 0.833 0.668 0.667
Ge2 Ge 0.167 0.332 0.333
Te1 Te 0.500 0.500 0.000
Te2 Te 0.835 0.170 0.671
Te3 Te 0.165 0.830 0.329
# DFT total energy = -61.52 eV/f.u.
# M_tot = 0.00 μB per cell
# Formation energy from raw total energies = -100.6 kJ per mole of atoms


# 3
# PBE-GGA DyGeIr2, optimized geometry
data_DyGeIr2
_cell_length_a 7.311
_cell_length_b 5.632
_cell_length_c 8.517
_cell_angle_alpha 90.00
_cell_angle_beta 90.00
_cell_angle_gamma 90.00
_symmetry_space_group_name_H-M 'P 1'
_symmetry_Int_Tables_number 1
_symmetry_space_group_name_Hall 'P 1'
loop_
_atom_site_label
_atom_site_type_symbol
_atom_site_fract_x
_atom_site_fract_y
_atom_site_fract_z
Dy1 Dy 0.000 0.250 0.677
Dy2 Dy 0.500 0.750 0.211
Dy3 Dy 0.000 0.750 0.323
Dy4 Dy 0.500 0.250 0.789
Ge1 Ge 0.500 0.750 0.726
Ge2 Ge 0.500 0.250 0.274
Ge3 Ge 0.000 0.250 0.248
Ge4 Ge 0.000 0.750 0.752
Ir1 Ir 0.000 0.000 0.000
Ir2 Ir 0.500 0.500 0.500
Ir3 Ir 0.300 0.750 0.951
Ir4 Ir 0.700 0.250 0.049
Ir5 Ir 0.700 0.750 0.951
Ir6 Ir 0.300 0.250 0.049
Ir7 Ir 0.000 0.500 0.000
Ir8 Ir 0.500 0.000 0.500
# ΔH_f (0 K) = -0.13 eV per atom
# DFT total energy = -27.47 eV/f.u.
# M_tot = 0.51 μB per cell